1.
ReHg: optimized geometry, PBE.

As for the crystal system: orthorhombic. As for the density of states at the Fermi level: 0.77 states/eV per atom. The raw total energy is -5.57 eV per atom. Its calculated volume is 318 Å³ per cell.

The structure belongs to space group P2_12_12_1 (No. 19); the cell edges are 6.0993, 6.8544 and 7.6161 Å and the angles 90.00°, 90.00° and 90.00°. Symmetry generates all atoms from Re at (0.0762, 0.0767, 0.1136), Re at (0.2200, 0.8263, 0.3273), Hg at (0.0941, 0.1898, 0.4806) and Hg at (0.1946, 0.5641, 0.6848).



2.
Nb12Sn6B: optimized geometry, PBE.

As for the crystal system: trigonal. As for the density of states at the Fermi level: 0.77 states/eV per atom. The raw total energy is -7.85 eV per atom. Its calculated volume is 1191 Å³ per cell.

The structure belongs to space group R-3 (No. 148, hexagonal axes); the cell edges are 11.7341, 11.7341 and 9.9860 Å and the angles 90.00°, 90.00° and 120.00°. Symmetry generates all atoms from Nb at (0.0352, 0.8827, 0.3757), Nb at (0.0755, 0.9025, 0.8660), Sn at (0.0220, 0.6239, 0.2937) and B at (0.0000, 0.0000, 0.0000).



3.
Pu2MnSb4: optimized geometry, PBE.

As for the crystal system: tetragonal. As for the density of states at the Fermi level: 2.99 states/eV per atom. The value obtained for the raw formation energy is -251 kJ/mol of formula units. Its calculated volume is 186 Å³ per cell.

The structure belongs to space group P-4m2 (No. 115); the cell edges are 4.3905, 4.3905 and 9.6252 Å and the angles 90.00°, 90.00° and 90.00°. Symmetry generates all atoms from Pu at (0.0000, 0.5000, 0.2480), Mn at (0.5000, 0.5000, 0.0000), Sb at (0.0000, 0.0000, 0.5000), Sb at (0.0000, 0.5000, 0.8499) and Sb at (0.5000, 0.5000, 0.5000).



4.
ZrSnPt6: optimized geometry, PBE.

As for the crystal system: tetragonal. As for the density of states at the Fermi level: 0.23 states/eV per atom. The raw total energy is -6.83 eV per atom. Its calculated volume is 134 Å³ per cell.

The structure belongs to space group P4/mmm (No. 123); the cell edges are 4.0519, 4.0519 and 8.1382 Å and the angles 90.00°, 90.00° and 90.00°. Symmetry generates all atoms from Zr at (0.0000, 0.0000, 0.0000), Sn at (0.0000, 0.0000, 0.5000), Pt at (0.0000, 0.5000, 0.2453), Pt at (0.5000, 0.5000, 0.0000) and Pt at (0.5000, 0.5000, 0.5000).



5.
ScCoBr2: optimized geometry, PBE.

As for the crystal system: trigonal. As for the density of states at the Fermi level: 0.56 states/eV per atom. The value obtained for the raw formation energy is -51 kJ/mol of formula units. Its calculated volume is 249 Å³ per cell.

The structure belongs to space group R-3m (No. 166, hexagonal axes); the cell edges are 3.4476, 3.4476 and 24.2279 Å and the angles 90.00°, 90.00° and 120.00°. Symmetry generates all atoms from Sc at (0.0000, 0.0000, 0.0000), Co at (0.0000, 0.0000, 0.5000) and Br at (0.0000, 0.0000, 0.2524).



6.
ErSc4S6: optimized geometry, PBE.

As for the crystal system: orthorhombic. As for the density of states at the Fermi level: 0.29 states/eV per atom. The value obtained for the raw formation energy is -2068 kJ/mol of formula units. Its calculated volume is 845 Å³ per cell.

The structure belongs to space group Cmcm (No. 63); the cell edges are 3.6696, 12.1358 and 18.9769 Å and the angles 90.00°, 90.00° and 90.00°. Symmetry generates all atoms from Er at (0.0000, 0.1516, 0.2500), Sc at (0.0000, 0.0933, 0.6250), Sc at (0.0000, 0.3600, 0.5391), S at (0.0000, 0.0000, 0.0000), S at (0.0000, 0.1854, 0.7500), S at (0.0000, 0.2692, 0.0871) and S at (0.0000, 0.4526, 0.6634).



7.
CaPb2Br: optimized geometry, PBE.

As for the crystal system: orthorhombic. As for the density of states at the Fermi level: 0.76 states/eV per atom. The value obtained for the raw formation energy is -141 kJ/mol of formula units. Its calculated volume is 243 Å³ per cell.

The structure belongs to space group Cmmm (No. 65); the cell edges are 7.2950, 9.0969 and 3.6575 Å and the angles 90.00°, 90.00° and 90.00°. Symmetry generates all atoms from Ca at (0.0000, 0.0000, 0.0000), Pb at (0.2500, 0.2500, 0.5000) and Br at (0.0000, 0.5000, 0.0000).



8.
NaCoN2: optimized geometry, PBE.

As for the crystal system: cubic. As for the density of states at the Fermi level: 0.29 states/eV per atom. The value obtained for the raw formation energy is 434 kJ/mol of formula units. Its calculated volume is 139 Å³ per cell.

The structure belongs to space group Fm-3m (No. 225); the cell edges are 5.1780, 5.1780 and 5.1780 Å and the angles 90.00°, 90.00° and 90.00°. Symmetry generates all atoms from Na at (0.0000, 0.0000, 0.0000), Co at (0.0000, 0.0000, 0.5000) and N at (0.2500, 0.2500, 0.2500).